A plane-wave DFT calculation with PBE was carried out for crystalline LaTh2ScAs4 at its relaxed geometry.

a = 4.2232 Å, b = 7.2515 Å, c = 7.2966 Å
α = 70.31°, β = 90.00°, γ = 90.00°
Last column: nearest neighbours and their distance in Å.
Sites, in units of the cell vectors:
La  0.0000  0.5000  0.5000  6 As 3.00
Th  0.0000  0.0000  0.0000  6 As 2.95
Th  0.5000  0.0000  0.5000  6 As 3.05
Sc  0.5000  0.5000  0.0000  6 As 2.90
As  0.0000  0.7388  0.7648  2 Sc 2.90, 3 Th 2.95-3.05, 1 La 3.00
As  0.0000  0.2612  0.2352  2 Sc 2.90, 3 Th 2.95-3.05, 1 La 3.00
As  0.5000  0.7476  0.2396  1 Sc 2.90, 3 Th 2.95-3.05, 2 La 3.00
As  0.5000  0.2524  0.7604  1 Sc 2.90, 3 Th 2.95-3.05, 2 La 3.00

**Energy relative to the elements**: -1393.9 meV/atom

---

A plane-wave DFT calculation with PBE was carried out for crystalline CaScCd2 at its relaxed geometry.

a = 5.2198 Å, b = 5.2200 Å, c = 3.6303 Å
α = 90.00°, β = 90.00°, γ = 90.00°
Last column: nearest neighbours and their distance in Å.
Sites, in units of the cell vectors:
Sc  0.5000  0.0000  0.5000  8 Cd 3.18
Ca  0.0000  0.5000  0.5000  8 Cd 3.18
Cd  0.0000  0.0000  0.0000  4 Sc 3.18, 4 Ca 3.18
Cd  0.5000  0.5000  0.0000  4 Ca 3.18, 4 Sc 3.18

**Energy relative to the elements**: -289.0 meV/atom